Compound: LaHf2NiF
Source: the Alexandria database
Functional: GGA+U
Structure: optimized geometry

Values from the calculation:
- Total DFT energy (no corrections): -27.304 eV/cell

abc: 4.577 6.101 4.577
angles: 90.00 90.00 90.00
Fractional coordinates of all 5 atoms:
Ni (0.000, 0.000, 0.000)
F (0.000, 0.500, 0.000)
Hf (0.000, 0.000, 0.500)
Hf (0.500, 0.000, 0.000)
La (0.500, 0.500, 0.500)